1.
Density functional theory data (PBE-GGA) for a geometry-optimized LiHfFeB structure.

Cell: 5.7152 5.7152 5.7152 Å, 90.00 90.00 90.00°
Atoms (fractional coordinates):
Li 0.0000 0.0000 0.0000
Li 0.0000 0.5000 0.5000
Li 0.5000 0.0000 0.5000
Li 0.5000 0.5000 0.0000
Hf 0.2500 0.2500 0.7500
Hf 0.2500 0.7500 0.2500
Hf 0.7500 0.2500 0.2500
Hf 0.7500 0.7500 0.7500
Fe 0.0000 0.0000 0.5000
Fe 0.0000 0.5000 0.0000
Fe 0.5000 0.0000 0.0000
Fe 0.5000 0.5000 0.5000
B 0.2500 0.2500 0.2500
B 0.2500 0.7500 0.7500
B 0.7500 0.2500 0.7500
B 0.7500 0.7500 0.2500

Output
The value obtained for the volume is 186.68 Å³ per cell. Its spin magnetization is 0.007 μB/atom. The calculation puts the polymorph energy (0 for the lowest one) at 0.76 eV/f.u.

---

2.
Density functional theory data (PBE-GGA) for a geometry-optimized LiYSbAu structure.

Cell: 7.1131 7.1131 7.1131 Å, 90.00 90.00 90.00°
Atoms (fractional coordinates):
Li 0.0000 0.0000 0.0000
Li 0.0000 0.5000 0.5000
Li 0.5000 0.0000 0.5000
Li 0.5000 0.5000 0.0000
Y 0.0000 0.0000 0.5000
Y 0.0000 0.5000 0.0000
Y 0.5000 0.0000 0.0000
Y 0.5000 0.5000 0.5000
Sb 0.2500 0.2500 0.2500
Sb 0.2500 0.7500 0.7500
Sb 0.7500 0.2500 0.7500
Sb 0.7500 0.7500 0.2500
Au 0.2500 0.2500 0.7500
Au 0.2500 0.7500 0.2500
Au 0.7500 0.2500 0.2500
Au 0.7500 0.7500 0.7500

Output
The value obtained for the volume is 359.89 Å³ per cell. Its spin magnetization is 0.000 μB/atom. The calculation puts the polymorph energy (0 for the lowest one) at 0.00 eV/f.u.

---

3.
Density functional theory data (PBE-GGA) for a geometry-optimized Pm2Zn structure.

Cell: 6.3198 6.3198 6.3198 Å, 60.00 60.00 60.00°
Atoms (fractional coordinates):
Pm 0.0000 0.0000 0.0000
Pm 0.0000 0.0000 0.5000
Pm 0.0000 0.5000 0.0000
Pm 0.5000 0.0000 0.0000
Zn 0.3750 0.3750 0.3750
Zn 0.6250 0.6250 0.6250

Output
As for the formation energy: 458 meV per atom. The value obtained for the volume is 178.48 Å³ per cell. Its spin magnetization is 0.102 μB/atom. The calculation puts the polymorph energy (0 for the lowest one) at 1.29 eV/f.u.